Entry 1:
First-principles (GGA-PBE) data for a geometry-optimized CaTa2GeB structure, as listed in Alexandria via LeMat-Bulk.

POSCAR file:
```
CaTa2GeB
1.0
4.872 0.000 0.000
0.000 4.186 0.000
0.000 0.000 4.872
Ge B Ca Ta
1 1 1 2
Direct
0.500 0.500 0.500
0.000 0.500 0.000
0.000 0.000 0.000
0.000 0.000 0.500
0.500 0.000 0.000
```

Values from the calculation:
- Uncorrected energy: -4.74 eV per atom
- M_tot: 0.00 μB per atom
- Space group: P4/mmm, No. 123



Entry 2:
First-principles (GGA-PBE) data for a geometry-optimized BaNdEu2 structure, as listed in Alexandria via LeMat-Bulk.

POSCAR file:
```
BaNdEu2
1.0
-2.616 5.059 -2.662
-4.850 -0.677 -3.943
-5.750 1.850 1.743
Eu Nd Ba
2 1 1
Direct
0.250 0.250 0.250
0.750 0.750 0.750
0.000 0.000 0.000
0.500 0.500 0.500
```

Values from the calculation:
- Uncorrected energy: -6.67 eV per atom
- M_tot: 3.77 μB per atom
- Space group: Fm-3m, No. 225



Entry 3:
First-principles (GGA-PBE) data for a geometry-optimized SrLiCl2 structure, as listed in Alexandria via LeMat-Bulk.

POSCAR file:
```
SrLiCl2
1.0
4.412 -0.067 0.000
-2.325 3.751 0.000
0.000 0.000 8.228
Cl Li Sr
2 1 1
Direct
0.000 0.000 0.015
0.500 0.500 0.418
0.000 0.000 0.298
0.500 0.500 0.769
```

Values from the calculation:
- Formation energy without anion corrections: -1640 meV/atom
- M_tot: 0.00 μB per atom
- Space group: Cmm2, No. 35



Entry 4:
First-principles (GGA-PBE) data for a geometry-optimized Tb3SmGa4 structure, as listed in Alexandria via LeMat-Bulk.

POSCAR file:
```
Tb3SmGa4
1.0
-0.409 3.769 3.401
-4.207 -4.161 4.105
8.228 -3.508 4.876
Tb Ga Sm
6 8 2
Direct
0.000 0.000 0.000
0.000 0.000 0.500
0.500 0.000 0.750
0.500 0.000 0.250
0.500 0.500 0.750
0.500 0.500 0.250
0.500 0.754 0.000
0.500 0.754 0.500
0.500 0.246 0.000
0.500 0.246 0.500
0.000 0.754 0.750
0.000 0.754 0.250
0.000 0.246 0.250
0.000 0.246 0.750
0.000 0.500 0.000
0.000 0.500 0.500
```

Values from the calculation:
- Uncorrected energy: -4.42 eV per atom
- M_tot: 0.00 μB per atom
- Space group: P4/mmm, No. 123



- Which value of M_tot does entry 1 give?
  0.00 μB per atom



- Which of these has the highest M_tot?
  BaNdEu2



- Number 4 is which compound?
  Tb3SmGa4



Please write out number 1 again, unchanged.
First-principles (GGA-PBE) data for a geometry-optimized CaTa2GeB structure, as listed in Alexandria via LeMat-Bulk.

POSCAR file:
```
CaTa2GeB
1.0
4.872 0.000 0.000
0.000 4.186 0.000
0.000 0.000 4.872
Ge B Ca Ta
1 1 1 2
Direct
0.500 0.500 0.500
0.000 0.500 0.000
0.000 0.000 0.000
0.000 0.000 0.500
0.500 0.000 0.000
```

Values from the calculation:
- Uncorrected energy: -4.74 eV per atom
- M_tot: 0.00 μB per atom
- Space group: P4/mmm, No. 123